# PBE Ho7Cd2Pd2, optimized geometry
# - total moment (μB per formula unit) = 0.00
# - DOS at the Fermi energy (states/eV per atom) = 1.0670
data_Ho7Cd2Pd2
_space_group_name_H-M_alt 'C m m m'
_space_group_IT_number 65
_space_group_name_Hall '-C 2 2'
_cell_length_a 8.017
_cell_length_b 10.974
_cell_length_c 7.138
_cell_angle_alpha 90.00
_cell_angle_beta 90.00
_cell_angle_gamma 90.00
loop_
_atom_site_label
_atom_site_type_symbol
_atom_site_fract_x
_atom_site_fract_y
_atom_site_fract_z
Ho1 Ho 0.000 0.000 0.000
Ho2 Ho 0.000 0.500 0.250
Ho3 Ho 0.250 0.250 0.257
Cd1 Cd 0.175 0.000 0.500
Pd1 Pd 0.000 0.290 0.000



# PBE HoCd2Pd, optimized geometry
# - total moment (μB per formula unit) = 0.00
# - DOS at the Fermi energy (states/eV per atom) = 1.0135
data_HoCd2Pd
_space_group_name_H-M_alt 'F m -3 m'
_space_group_IT_number 225
_space_group_name_Hall '-F 4 2 3'
_cell_length_a 6.933
_cell_length_b 6.933
_cell_length_c 6.933
_cell_angle_alpha 90.00
_cell_angle_beta 90.00
_cell_angle_gamma 90.00
loop_
_atom_site_label
_atom_site_type_symbol
_atom_site_fract_x
_atom_site_fract_y
_atom_site_fract_z
Ho1 Ho 0.000 0.000 0.000
Cd1 Cd 0.250 0.250 0.250
Pd1 Pd 0.000 0.000 0.500



# PBE Ho5Cd4Pd, optimized geometry
# - total moment (μB per formula unit) = 0.00
# - DOS at the Fermi energy (states/eV per atom) = 0.8456
data_Ho5Cd4Pd
_space_group_name_H-M_alt 'P 4/m m m'
_space_group_IT_number 123
_space_group_name_Hall '-P 4 2'
_cell_length_a 3.665
_cell_length_b 3.665
_cell_length_c 18.511
_cell_angle_alpha 90.00
_cell_angle_beta 90.00
_cell_angle_gamma 90.00
loop_
_atom_site_label
_atom_site_type_symbol
_atom_site_fract_x
_atom_site_fract_y
_atom_site_fract_z
Ho1 Ho 0.000 0.000 0.000
Ho2 Ho 0.000 0.000 0.206
Ho3 Ho 0.000 0.000 0.411
Cd1 Cd 0.500 0.500 0.103
Cd2 Cd 0.500 0.500 0.306
Pd1 Pd 0.500 0.500 0.500



# PBE Ho4CdPd5, optimized geometry
# - total moment (μB per formula unit) = 0.00
# - DOS at the Fermi energy (states/eV per atom) = 0.6184
data_Ho4CdPd5
_space_group_name_H-M_alt 'P 4/m m m'
_space_group_IT_number 123
_space_group_name_Hall '-P 4 2'
_cell_length_a 3.488
_cell_length_b 3.488
_cell_length_c 16.885
_cell_angle_alpha 90.00
_cell_angle_beta 90.00
_cell_angle_gamma 90.00
loop_
_atom_site_label
_atom_site_type_symbol
_atom_site_fract_x
_atom_site_fract_y
_atom_site_fract_z
Ho1 Ho 0.000 0.000 0.104
Ho2 Ho 0.000 0.000 0.313
Cd1 Cd 0.000 0.000 0.500
Pd1 Pd 0.500 0.500 0.000
Pd2 Pd 0.500 0.500 0.209
Pd3 Pd 0.500 0.500 0.409



# PBE Ho3CdPd6, optimized geometry
# - total moment (μB per formula unit) = 0.00
# - energy relative to the lowest polymorph listed for this composition (meV per atom) = 0.0
# - DOS at the Fermi energy (states/eV per atom) = 0.4309
data_Ho3CdPd6
_space_group_name_H-M_alt 'P 1 21/m 1'
_space_group_IT_number 11
_cell_length_a 8.053
_cell_length_b 4.903
_cell_length_c 10.354
_cell_angle_alpha 90.00
_cell_angle_beta 111.80
_cell_angle_gamma 90.00
loop_
_space_group_symop_operation_xyz
'x,y,z'
'-x,-y,-z'
'-x,y+1/2,-z'
'x,-y+1/2,z'
loop_
_atom_site_label
_atom_site_type_symbol
_atom_site_fract_x
_atom_site_fract_y
_atom_site_fract_z
Ho1 Ho 0.051 0.250 0.213
Ho2 Ho 0.308 0.250 0.014
Ho3 Ho 0.350 0.750 0.380
Cd1 Cd 0.124 0.750 0.569
Pd1 Pd 0.099 0.250 0.719
Pd2 Pd 0.116 0.750 0.082
Pd3 Pd 0.275 0.250 0.520
Pd4 Pd 0.314 0.750 0.860
Pd5 Pd 0.487 0.250 0.321
Pd6 Pd 0.491 0.250 0.827



# PBE Ho2Cd2Pd3, optimized geometry
# - total moment (μB per formula unit) = 0.00
# - energy relative to the lowest polymorph listed for this composition (meV per atom) = 123.2
# - DOS at the Fermi energy (states/eV per atom) = 0.4701
data_Ho2Cd2Pd3
_space_group_name_H-M_alt 'C 1 2/m 1'
_space_group_IT_number 12
_cell_length_a 12.759
_cell_length_b 4.118
_cell_length_c 6.395
_cell_angle_alpha 90.00
_cell_angle_beta 113.07
_cell_angle_gamma 90.00
loop_
_space_group_symop_operation_xyz
'x,y,z'
'-x,-y,-z'
'-x,y,-z'
'x,-y,z'
'x+1/2,y+1/2,z'
'-x+1/2,-y+1/2,-z'
'-x+1/2,y+1/2,-z'
'x+1/2,-y+1/2,z'
loop_
_atom_site_label
_atom_site_type_symbol
_atom_site_fract_x
_atom_site_fract_y
_atom_site_fract_z
Ho1 Ho 0.128 0.000 0.312
Cd1 Cd 0.103 0.500 0.699
Pd1 Pd 0.000 0.500 0.000
Pd2 Pd 0.241 0.500 0.172



# PBE HoCdPd2, optimized geometry
# - total moment (μB per formula unit) = 0.00
# - energy relative to the lowest polymorph listed for this composition (meV per atom) = 51.8
# - DOS at the Fermi energy (states/eV per atom) = 0.3985
data_HoCdPd2
_space_group_name_H-M_alt 'P 4/m m m'
_space_group_IT_number 123
_space_group_name_Hall '-P 4 2'
_cell_length_a 3.559
_cell_length_b 3.559
_cell_length_c 6.118
_cell_angle_alpha 90.00
_cell_angle_beta 90.00
_cell_angle_gamma 90.00
loop_
_atom_site_label
_atom_site_type_symbol
_atom_site_fract_x
_atom_site_fract_y
_atom_site_fract_z
Ho1 Ho 0.000 0.000 0.000
Cd1 Cd 0.000 0.000 0.500
Pd1 Pd 0.500 0.500 0.258



# PBE Ho2CdPd6, optimized geometry
# - total moment (μB per formula unit) = 0.00
# - DOS at the Fermi energy (states/eV per atom) = 0.4060
data_Ho2CdPd6
_space_group_name_H-M_alt 'C 1 2/m 1'
_space_group_IT_number 12
_cell_length_a 12.483
_cell_length_b 8.248
_cell_length_c 3.847
_cell_angle_alpha 90.00
_cell_angle_beta 107.91
_cell_angle_gamma 90.00
loop_
_space_group_symop_operation_xyz
'x,y,z'
'-x,-y,-z'
'-x,y,-z'
'x,-y,z'
'x+1/2,y+1/2,z'
'-x+1/2,-y+1/2,-z'
'-x+1/2,y+1/2,-z'
'x+1/2,-y+1/2,z'
loop_
_atom_site_label
_atom_site_type_symbol
_atom_site_fract_x
_atom_site_fract_y
_atom_site_fract_z
Ho1 Ho 0.163 0.000 0.164
Cd1 Cd 0.000 0.500 0.500
Pd1 Pd 0.000 0.251 0.000
Pd2 Pd 0.165 0.255 0.665



# PBE Ho4Cd3Pd, optimized geometry
# - total moment (μB per formula unit) = 0.00
# - DOS at the Fermi energy (states/eV per atom) = 0.8158
data_Ho4Cd3Pd
_space_group_name_H-M_alt 'P 4/m m m'
_space_group_IT_number 123
_space_group_name_Hall '-P 4 2'
_cell_length_a 3.644
_cell_length_b 3.644
_cell_length_c 14.829
_cell_angle_alpha 90.00
_cell_angle_beta 90.00
_cell_angle_gamma 90.00
loop_
_atom_site_label
_atom_site_type_symbol
_atom_site_fract_x
_atom_site_fract_y
_atom_site_fract_z
Ho1 Ho 0.000 0.000 0.111
Ho2 Ho 0.000 0.000 0.370
Cd1 Cd 0.500 0.500 0.244
Cd2 Cd 0.500 0.500 0.500
Pd1 Pd 0.500 0.500 0.000



# PBE HoCdPd4, optimized geometry
# - total moment (μB per formula unit) = 0.00
# - DOS at the Fermi energy (states/eV per atom) = 0.3938
data_HoCdPd4
_space_group_name_H-M_alt 'C 1 2/m 1'
_space_group_IT_number 12
_cell_length_a 9.500
_cell_length_b 3.871
_cell_length_c 6.140
_cell_angle_alpha 90.00
_cell_angle_beta 110.17
_cell_angle_gamma 90.00
loop_
_space_group_symop_operation_xyz
'x,y,z'
'-x,-y,-z'
'-x,y,-z'
'x,-y,z'
'x+1/2,y+1/2,z'
'-x+1/2,-y+1/2,-z'
'-x+1/2,y+1/2,-z'
'x+1/2,-y+1/2,z'
loop_
_atom_site_label
_atom_site_type_symbol
_atom_site_fract_x
_atom_site_fract_y
_atom_site_fract_z
Ho1 Ho 0.000 0.000 0.000
Cd1 Cd 0.000 0.000 0.500
Pd1 Pd 0.166 0.500 0.336
Pd2 Pd 0.167 0.500 0.825



# PBE Ho8CdPd2, optimized geometry
# - total moment (μB per formula unit) = 0.00
# - DOS at the Fermi energy (states/eV per atom) = 1.3941
data_Ho8CdPd2
_space_group_name_H-M_alt 'C 1 2/m 1'
_space_group_IT_number 12
_cell_length_a 8.597
_cell_length_b 13.527
_cell_length_c 5.465
_cell_angle_alpha 90.00
_cell_angle_beta 105.47
_cell_angle_gamma 90.00
loop_
_space_group_symop_operation_xyz
'x,y,z'
'-x,-y,-z'
'-x,y,-z'
'x,-y,z'
'x+1/2,y+1/2,z'
'-x+1/2,-y+1/2,-z'
'-x+1/2,y+1/2,-z'
'x+1/2,-y+1/2,z'
loop_
_atom_site_label
_atom_site_type_symbol
_atom_site_fract_x
_atom_site_fract_y
_atom_site_fract_z
Ho1 Ho 0.000 0.241 0.000
Ho2 Ho 0.111 0.500 0.808
Ho3 Ho 0.205 0.124 0.584
Cd1 Cd 0.000 0.000 0.000
Pd1 Pd 0.000 0.304 0.500



# PBE HoCd2Pd2, optimized geometry
# - total moment (μB per formula unit) = 0.00
# - DOS at the Fermi energy (states/eV per atom) = 0.4665
data_HoCd2Pd2
_space_group_name_H-M_alt 'P -3 m 1'
_space_group_IT_number 164
_space_group_name_Hall '-P 3 2"'
_cell_length_a 4.7324
_cell_length_b 4.7324
_cell_length_c 5.5820
_cell_angle_alpha 90.00
_cell_angle_beta 90.00
_cell_angle_gamma 120.00
loop_
_atom_site_label
_atom_site_type_symbol
_atom_site_fract_x
_atom_site_fract_y
_atom_site_fract_z
Ho1 Ho 0.0000 0.0000 0.0000
Cd1 Cd 0.3333 0.6667 0.3635
Pd1 Pd 0.3333 0.6667 0.8567



# PBE Ho4CdPd, optimized geometry
# - total moment (μB per formula unit) = 0.00
# - energy relative to the lowest polymorph listed for this composition (meV per atom) = 0.0
# - DOS at the Fermi energy (states/eV per atom) = 0.9856
data_Ho4CdPd
_space_group_name_H-M_alt 'F -4 3 m'
_space_group_IT_number 216
_space_group_name_Hall 'F -4 2 3'
_cell_length_a 13.634
_cell_length_b 13.634
_cell_length_c 13.634
_cell_angle_alpha 90.00
_cell_angle_beta 90.00
_cell_angle_gamma 90.00
loop_
_atom_site_label
_atom_site_type_symbol
_atom_site_fract_x
_atom_site_fract_y
_atom_site_fract_z
Ho1 Ho 0.000 0.000 0.184
Ho2 Ho 0.060 0.250 0.750
Ho3 Ho 0.104 0.104 0.396
Cd1 Cd 0.168 0.168 0.168
Pd1 Pd 0.105 0.105 0.605



# PBE Ho2CdPd4, optimized geometry
# - total moment (μB per formula unit) = 0.00
# - energy relative to the lowest polymorph listed for this composition (meV per atom) = 0.0
# - DOS at the Fermi energy (states/eV per atom) = 0.5881
data_Ho2CdPd4
_space_group_name_H-M_alt 'I 4/m m m'
_space_group_IT_number 139
_space_group_name_Hall '-I 4 2'
_cell_length_a 4.070
_cell_length_b 4.070
_cell_length_c 18.313
_cell_angle_alpha 90.00
_cell_angle_beta 90.00
_cell_angle_gamma 90.00
loop_
_atom_site_label
_atom_site_type_symbol
_atom_site_fract_x
_atom_site_fract_y
_atom_site_fract_z
Ho1 Ho 0.000 0.000 0.132
Cd1 Cd 0.000 0.000 0.500
Pd1 Pd 0.000 0.000 0.355
Pd2 Pd 0.000 0.500 0.250



# PBE Ho5CdPd2, optimized geometry
# - total moment (μB per formula unit) = 0.00
# - DOS at the Fermi energy (states/eV per atom) = 1.1767
data_Ho5CdPd2
_space_group_name_H-M_alt 'I 4/m c m'
_space_group_IT_number 140
_space_group_name_Hall '-I 4 2c'
_cell_length_a 7.843
_cell_length_b 7.843
_cell_length_c 13.310
_cell_angle_alpha 90.00
_cell_angle_beta 90.00
_cell_angle_gamma 90.00
loop_
_atom_site_label
_atom_site_type_symbol
_atom_site_fract_x
_atom_site_fract_y
_atom_site_fract_z
Ho1 Ho 0.000 0.000 0.000
Ho2 Ho 0.159 0.341 0.140
Cd1 Cd 0.000 0.000 0.250
Pd1 Pd 0.134 0.366 0.500



# PBE HoCdPd, optimized geometry
# - total moment (μB per formula unit) = 0.00
# - DOS at the Fermi energy (states/eV per atom) = 0.7393
data_HoCdPd
_space_group_name_H-M_alt 'P m m a'
_space_group_IT_number 51
_cell_length_a 13.346
_cell_length_b 3.797
_cell_length_c 7.762
_cell_angle_alpha 90.00
_cell_angle_beta 90.00
_cell_angle_gamma 90.00
loop_
_space_group_symop_operation_xyz
'x,y,z'
'-x,-y,-z'
'-x+1/2,-y,z'
'x+1/2,y,-z'
'x+1/2,-y,-z'
'-x+1/2,y,z'
'-x,y,-z'
'x,-y,z'
loop_
_atom_site_label
_atom_site_type_symbol
_atom_site_fract_x
_atom_site_fract_y
_atom_site_fract_z
Ho1 Ho 0.047 0.000 0.227
Ho2 Ho 0.250 0.000 0.825
Cd1 Cd 0.109 0.500 0.564
Cd2 Cd 0.250 0.500 0.185
Pd1 Pd 0.097 0.500 0.935
Pd2 Pd 0.250 0.000 0.447



# PBE Ho2CdPd4, optimized geometry
# - total moment (μB per formula unit) = 0.00
# - energy relative to the lowest polymorph listed for this composition (meV per atom) = 19.2
# - DOS at the Fermi energy (states/eV per atom) = 0.4001
data_Ho2CdPd4
_space_group_name_H-M_alt 'C 1 2/m 1'
_space_group_IT_number 12
_cell_length_a 8.892
_cell_length_b 4.321
_cell_length_c 8.222
_cell_angle_alpha 90.00
_cell_angle_beta 116.41
_cell_angle_gamma 90.00
loop_
_space_group_symop_operation_xyz
'x,y,z'
'-x,-y,-z'
'-x,y,-z'
'x,-y,z'
'x+1/2,y+1/2,z'
'-x+1/2,-y+1/2,-z'
'-x+1/2,y+1/2,-z'
'x+1/2,-y+1/2,z'
loop_
_atom_site_label
_atom_site_type_symbol
_atom_site_fract_x
_atom_site_fract_y
_atom_site_fract_z
Ho1 Ho 0.025 0.000 0.229
Cd1 Cd 0.000 0.500 0.500
Pd1 Pd 0.224 0.500 0.883
Pd2 Pd 0.235 0.000 0.629



# PBE HoCdPd4, optimized geometry
# - total moment (μB per formula unit) = 0.00
# - DOS at the Fermi energy (states/eV per atom) = 0.3857
data_HoCdPd4
_space_group_name_H-M_alt 'P m m m'
_space_group_IT_number 47
_cell_length_a 3.090
_cell_length_b 4.644
_cell_length_c 7.863
_cell_angle_alpha 90.00
_cell_angle_beta 90.00
_cell_angle_gamma 90.00
loop_
_space_group_symop_operation_xyz
'x,y,z'
'-x,-y,-z'
'-x,-y,z'
'x,y,-z'
'x,-y,-z'
'-x,y,z'
'-x,y,-z'
'x,-y,z'
loop_
_atom_site_label
_atom_site_type_symbol
_atom_site_fract_x
_atom_site_fract_y
_atom_site_fract_z
Ho1 Ho 0.000 0.000 0.000
Cd1 Cd 0.500 0.500 0.500
Pd1 Pd 0.000 0.500 0.201
Pd2 Pd 0.500 0.000 0.299



# PBE HoCd2Pd2, optimized geometry
# - total moment (μB per formula unit) = 0.00
# - DOS at the Fermi energy (states/eV per atom) = 0.5021
data_HoCd2Pd2
_space_group_name_H-M_alt 'P 1 21/m 1'
_space_group_IT_number 11
_cell_length_a 5.476
_cell_length_b 4.688
_cell_length_c 8.689
_cell_angle_alpha 90.00
_cell_angle_beta 106.84
_cell_angle_gamma 90.00
loop_
_space_group_symop_operation_xyz
'x,y,z'
'-x,-y,-z'
'-x,y+1/2,-z'
'x,-y+1/2,z'
loop_
_atom_site_label
_atom_site_type_symbol
_atom_site_fract_x
_atom_site_fract_y
_atom_site_fract_z
Ho1 Ho 0.042 0.250 0.256
Cd1 Cd 0.348 0.250 0.973
Cd2 Cd 0.409 0.250 0.627
Pd1 Pd 0.133 0.750 0.458
Pd2 Pd 0.174 0.750 0.095



# PBE Ho8Cd2Pd, optimized geometry
# - total moment (μB per formula unit) = 0.00
# - DOS at the Fermi energy (states/eV per atom) = 0.8985
data_Ho8Cd2Pd
_space_group_name_H-M_alt 'C 1 2/m 1'
_space_group_IT_number 12
_cell_length_a 17.582
_cell_length_b 5.288
_cell_length_c 6.920
_cell_angle_alpha 90.00
_cell_angle_beta 108.82
_cell_angle_gamma 90.00
loop_
_space_group_symop_operation_xyz
'x,y,z'
'-x,-y,-z'
'-x,y,-z'
'x,-y,z'
'x+1/2,y+1/2,z'
'-x+1/2,-y+1/2,-z'
'-x+1/2,y+1/2,-z'
'x+1/2,-y+1/2,z'
loop_
_atom_site_label
_atom_site_type_symbol
_atom_site_fract_x
_atom_site_fract_y
_atom_site_fract_z
Ho1 Ho 0.022 0.000 0.278
Ho2 Ho 0.092 0.500 0.936
Ho3 Ho 0.154 0.500 0.453
Ho4 Ho 0.198 0.000 0.790
Cd1 Cd 0.185 0.000 0.211
Pd1 Pd 0.000 0.500 0.500



# PBE Ho4CdPd12, optimized geometry
# - total moment (μB per formula unit) = 0.00
# - DOS at the Fermi energy (states/eV per atom) = 0.1587
data_Ho4CdPd12
_space_group_name_H-M_alt 'I m -3 m'
_space_group_IT_number 229
_space_group_name_Hall '-I 4 2 3'
_cell_length_a 8.531
_cell_length_b 8.531
_cell_length_c 8.531
_cell_angle_alpha 90.00
_cell_angle_beta 90.00
_cell_angle_gamma 90.00
loop_
_atom_site_label
_atom_site_type_symbol
_atom_site_fract_x
_atom_site_fract_y
_atom_site_fract_z
Ho1 Ho 0.250 0.250 0.250
Cd1 Cd 0.000 0.000 0.000
Pd1 Pd 0.000 0.000 0.302
Pd2 Pd 0.000 0.250 0.500



# PBE Ho2CdPd8, optimized geometry
# - total moment (μB per formula unit) = 0.00
# - DOS at the Fermi energy (states/eV per atom) = 0.3649
data_Ho2CdPd8
_space_group_name_H-M_alt 'C 1 2/m 1'
_space_group_IT_number 12
_cell_length_a 14.637
_cell_length_b 4.214
_cell_length_c 6.570
_cell_angle_alpha 90.00
_cell_angle_beta 107.54
_cell_angle_gamma 90.00
loop_
_space_group_symop_operation_xyz
'x,y,z'
'-x,-y,-z'
'-x,y,-z'
'x,-y,z'
'x+1/2,y+1/2,z'
'-x+1/2,-y+1/2,-z'
'-x+1/2,y+1/2,-z'
'x+1/2,-y+1/2,z'
loop_
_atom_site_label
_atom_site_type_symbol
_atom_site_fract_x
_atom_site_fract_y
_atom_site_fract_z
Ho1 Ho 0.216 0.000 0.166
Cd1 Cd 0.000 0.500 0.500
Pd1 Pd 0.036 0.000 0.222
Pd2 Pd 0.092 0.500 0.948
Pd3 Pd 0.143 0.000 0.684
Pd4 Pd 0.172 0.500 0.403



no.,DFT formation energy (meV per atom)
1,-285.2
2,-366.9
3,-433.0
4,-818.7
5,-797.9
6,-569.6
7,-697.6
8,-471.1
9,-463.3
10,-601.3
11,-283.4
12,-549.8
13,-457.2
14,-700.2
15,-539.9
16,-676.3
17,-681.0
18,-408.0
19,-550.0
20,-225.7
21,-784.8
22,-596.1